SrVCuO4 | PBE with a Hubbard U | optimized geometry

The structure in POSCAR format:
```
SrVCuO4
1.0
-1.2845 5.1813 -1.2968
-2.4595 0.6101 4.8741
5.3069 -1.6494 -0.2114
Cu O V Sr
1 4 1 1
Cartesian
-1.8720 2.8957 1.7887
1.6749 1.8985 2.3635
-1.0184 1.8338 3.3003
-0.9939 4.5859 1.0722
3.4633 -0.0342 -0.0041
0.4877 0.9282 3.2257
0.0000 0.0000 0.0000
```

Computed properties:
As for the total DFT energy (no corrections): -6.6127 eV per atom. Its total moment is 0.0 μB/f.u.